This record from the Alexandria database describes an optimized crystal structure of Nd2OsC. The functional is PBE.

Output
Formation energy from the elements, meV per atom: -5
Energy above the most stable polymorph in this dataset, meV/atom: 111.2
Total energy, eV per atom: -7.503
DOS(E_F), states/eV/atom: 0.7993
M_tot, μB per atom: 0.00

Lattice parameters (Å, degrees): 3.4521 5.2689 10.4598 120.21 90.00 90.00
Closest atoms and distances in Å follow each position.
Fractional coordinates of all 8 atoms:
Nd1 0.7500 0.1474 0.3973  4 C 2.65-2.74
Os1 0.2500 0.5130 0.2628  2 C 1.97
Nd2 0.7500 0.1855 0.9355  4 Os 3.19-3.43, 8 Nd 3.36-3.47
Nd3 0.2500 0.8145 0.0645  4 Os 3.19-3.43, 8 Nd 3.36-3.47
C1 0.7500 0.6180 0.3679  2 Os 1.97
Nd4 0.2500 0.8526 0.6027  4 C 2.65-2.74
Os2 0.7500 0.4870 0.7372  2 C 1.97
C2 0.2500 0.3820 0.6321  2 Os 1.97

This record from the Alexandria database describes an optimized crystal structure of YHgTePd2. The functional is PBE.

Output
Formation energy from raw total energies, meV/atom: 239.7
Total energy, eV per atom: -3.819
DOS(E_F), states/eV/atom: 0.8236
M_tot, μB per atom: 0.00

Lattice parameters (Å, degrees): 5.0150 5.6256 5.0150 90.00 90.00 90.00
Closest atoms and distances in Å follow each position.
Fractional coordinates of all 5 atoms:
Y1 0.0000 0.5000 0.0000  2 Hg 2.81
Te1 0.5000 0.5000 0.5000  4 Y 3.55, 8 Pd 3.77
Hg1 0.0000 0.0000 0.0000  4 Pd 2.51
Pd1 0.0000 0.0000 0.5000  2 Hg 2.51
Pd2 0.5000 0.0000 0.0000  2 Hg 2.51

This record from the Alexandria database describes an optimized crystal structure of Cd5In2Hg3. The functional is PBE.

Output
Formation energy from the elements, meV per atom: 18
Energy above the most stable polymorph in this dataset, meV/atom: 0.0
Total energy, eV per atom: -1.078
DOS(E_F), states/eV/atom: 0.2416
M_tot, μB per atom: 0.00

Lattice parameters (Å, degrees): 6.6687 8.7676 8.7681 100.04 94.64 94.65
Closest atoms and distances in Å follow each position.
Fractional coordinates of all 20 atoms:
Cd1 0.5522 0.1910 0.2897  3 Cd 3.05-3.15, 3 Hg 3.05-3.16, 2 In 3.19-3.26
Cd2 0.8380 0.0237 0.7403  4 Hg 2.93-3.16, 3 Cd 3.04-3.05
Cd3 0.2500 0.4903 0.5097  4 Hg 3.10-3.11, 4 Cd 3.15-3.34
In1 0.0927 0.3801 0.8484  6 Cd 3.19-3.49, 3 Hg 3.22-3.28, 2 In 3.47-3.52
Cd4 0.1620 0.9763 0.2597  4 Hg 2.93-3.16, 3 Cd 3.04-3.05
In2 0.5927 0.8484 0.3801  6 Cd 3.19-3.49, 3 Hg 3.22-3.28, 2 In 3.47-3.52
Hg1 0.5571 0.5001 0.7985  6 Cd 2.93-3.16, 2 In 3.22-3.28
Cd5 0.0522 0.2897 0.1910  3 Cd 3.05-3.15, 3 Hg 3.05-3.16, 2 In 3.19-3.26
Cd6 0.9478 0.7103 0.8090  3 Cd 3.05-3.15, 3 Hg 3.05-3.16, 2 In 3.19-3.26
Hg2 0.0571 0.7985 0.5001  6 Cd 2.93-3.16, 2 In 3.22-3.28
Hg3 0.7500 0.9371 0.0629  6 Cd 3.08-3.16, 2 In 3.25
Hg4 0.9429 0.2015 0.4999  6 Cd 2.93-3.16, 2 In 3.22-3.28
Cd7 0.4478 0.8090 0.7103  3 Cd 3.05-3.15, 3 Hg 3.05-3.16, 2 In 3.19-3.26
Hg5 0.2500 0.0629 0.9371  6 Cd 3.08-3.16, 2 In 3.25
In3 0.9073 0.6199 0.1516  6 Cd 3.19-3.49, 3 Hg 3.22-3.28, 2 In 3.47-3.52
Hg6 0.4429 0.4999 0.2015  6 Cd 2.93-3.16, 2 In 3.22-3.28
Cd8 0.6621 0.2597 0.9763  4 Hg 2.93-3.16, 3 Cd 3.04-3.05
Cd9 0.7500 0.5097 0.4903  4 Hg 3.10-3.11, 4 Cd 3.15-3.34
Cd10 0.3379 0.7403 0.0237  4 Hg 2.93-3.16, 3 Cd 3.04-3.05
In4 0.4073 0.1516 0.6199  6 Cd 3.19-3.49, 3 Hg 3.22-3.28, 2 In 3.47-3.52